{
  "formula": "AcDySn",
  "functional": "PBE",
  "state": "relaxed",
  "cell": [[-1.100, 2.487, 3.982], [0.237, -4.055, 2.600], [8.595, 1.443, 1.473]],
  "species": ["Ac", "Ac", "Dy", "Dy", "Sn", "Sn"],
  "fractional_positions": [[0.814, 0.867, 0.567], [0.314, 0.366, 0.273], [0.814, 0.367, 0.920], [0.314, 0.866, 0.920], [0.813, 0.866, 0.165], [0.314, 0.367, 0.674]],
  "total_energy_ev_per_cell": -28.84,
  "ef_mev_per_atom": -568,
  "dos_at_fermi_per_ev_cell": 6.56,
  "mass_density_g_cm3": 8.21
}